(1)
{
  "formula": "FeSe2Br",
  "functional": "PBE-GGA",
  "state": "optimized geometry",
  "m_tot_mub_per_fu": 1.54,
  "e_form_raw_mev_per_atom": -137,
  "spacegroup": "R-3m, No. 166",
  "polymorph_energy_mev_per_atom": 5,
  "lattice": [[1.831, 1.057, 7.700], [-1.831, 1.057, 7.700], [0.000, -2.115, 7.700]],
  "species": ["Fe", "Se", "Se", "Br"],
  "frac_coords": [[0.000, 0.000, 0.000], [0.386, 0.386, 0.386], [0.614, 0.614, 0.614], [0.500, 0.500, 0.500]]
}



(2)
{
  "formula": "FeSe2Br",
  "functional": "PBE-GGA",
  "state": "optimized geometry",
  "m_tot_mub_per_fu": 1.78,
  "e_form_raw_mev_per_atom": -86,
  "spacegroup": "R-3m, No. 166",
  "polymorph_energy_mev_per_atom": 56,
  "lattice": [[1.641, 0.948, 9.786], [-1.641, 0.948, 9.786], [0.000, -1.895, 9.786]],
  "species": ["Fe", "Se", "Se", "Br"],
  "frac_coords": [[0.000, 0.000, 0.000], [0.283, 0.283, 0.283], [0.717, 0.717, 0.717], [0.500, 0.500, 0.500]]
}



(3)
{
  "formula": "FeSnSeBr2",
  "functional": "PBE-GGA",
  "state": "optimized geometry",
  "m_tot_mub_per_fu": 3.29,
  "e_form_raw_mev_per_atom": -71,
  "spacegroup": "P4/mmm, No. 123",
  "polymorph_energy_mev_per_atom": 0,
  "lattice": [[5.004, 0.000, 0.000], [0.000, 5.004, 0.000], [0.000, 0.000, 5.055]],
  "species": ["Fe", "Sn", "Se", "Br", "Br"],
  "frac_coords": [[0.000, 0.000, 0.000], [0.500, 0.500, 0.500], [0.000, 0.000, 0.500], [0.000, 0.500, 0.000], [0.500, 0.000, 0.000]]
}



(4)
{
  "formula": "TaFeSe2Br",
  "functional": "PBE-GGA",
  "state": "optimized geometry",
  "m_tot_mub_per_fu": 4.04,
  "e_form_raw_mev_per_atom": 422,
  "spacegroup": "P4/mmm, No. 123",
  "polymorph_energy_mev_per_atom": 0,
  "lattice": [[5.048, 0.000, 0.000], [0.000, 5.048, 0.000], [0.000, 0.000, 5.132]],
  "species": ["Ta", "Fe", "Se", "Se", "Br"],
  "frac_coords": [[0.000, 0.000, 0.000], [0.500, 0.500, 0.500], [0.000, 0.500, 0.000], [0.500, 0.000, 0.000], [0.000, 0.000, 0.500]]
}



(5)
{
  "formula": "TaFeSe2Br",
  "functional": "PBE-GGA",
  "state": "optimized geometry",
  "m_tot_mub_per_fu": 0.00,
  "e_form_raw_mev_per_atom": 839,
  "spacegroup": "P4/mmm, No. 123",
  "polymorph_energy_mev_per_atom": 417,
  "lattice": [[4.628, 0.000, 0.000], [0.000, 4.628, 0.000], [0.000, 0.000, 4.596]],
  "species": ["Ta", "Fe", "Se", "Se", "Br"],
  "frac_coords": [[0.000, 0.000, 0.000], [0.500, 0.500, 0.500], [0.000, 0.500, 0.500], [0.500, 0.000, 0.500], [0.500, 0.500, 0.000]]
}



(6)
{
  "formula": "FeTcSe2Br",
  "functional": "PBE-GGA",
  "state": "optimized geometry",
  "m_tot_mub_per_fu": 3.65,
  "e_form_raw_mev_per_atom": 728,
  "spacegroup": "P4/mmm, No. 123",
  "polymorph_energy_mev_per_atom": 0,
  "lattice": [[4.800, 0.000, 0.000], [0.000, 4.800, 0.000], [0.000, 0.000, 5.307]],
  "species": ["Fe", "Tc", "Se", "Se", "Br"],
  "frac_coords": [[0.000, 0.000, 0.000], [0.500, 0.500, 0.500], [0.000, 0.500, 0.500], [0.500, 0.000, 0.500], [0.500, 0.500, 0.000]]
}



(7)
{
  "formula": "TlFeSe2Br",
  "functional": "PBE-GGA",
  "state": "optimized geometry",
  "m_tot_mub_per_fu": 0.00,
  "e_form_raw_mev_per_atom": -15,
  "spacegroup": "P4/mmm, No. 123",
  "polymorph_energy_mev_per_atom": 0,
  "lattice": [[4.661, 0.000, 0.000], [0.000, 4.661, 0.000], [0.000, 0.000, 5.613]],
  "species": ["Tl", "Fe", "Se", "Se", "Br"],
  "frac_coords": [[0.000, 0.000, 0.000], [0.500, 0.500, 0.500], [0.000, 0.500, 0.500], [0.500, 0.000, 0.500], [0.500, 0.500, 0.000]]
}



(8)
{
  "formula": "VFeSe2Br",
  "functional": "PBE-GGA",
  "state": "optimized geometry",
  "m_tot_mub_per_fu": 5.47,
  "e_form_raw_mev_per_atom": 376,
  "spacegroup": "P4/mmm, No. 123",
  "polymorph_energy_mev_per_atom": 0,
  "lattice": [[4.837, 0.000, 0.000], [0.000, 4.837, 0.000], [0.000, 0.000, 5.121]],
  "species": ["V", "Fe", "Se", "Se", "Br"],
  "frac_coords": [[0.000, 0.000, 0.000], [0.500, 0.500, 0.500], [0.000, 0.500, 0.000], [0.500, 0.000, 0.000], [0.000, 0.000, 0.500]]
}